--- A ---
# LiWBr2 PBE optimized geometry
data_LiWBr2
_chemical_formula_sum 'Li1 W1 Br2'
_cell_length_a 4.723
_cell_length_b 4.723
_cell_length_c 6.052
_cell_angle_alpha 80.75
_cell_angle_beta 80.75
_cell_angle_gamma 39.12
_space_group_name_H-M_alt 'P 1'
_space_group_IT_number 1
loop_
_space_group_symop_operation_xyz
'x,y,z'
loop_
_atom_site_label
_atom_site_type_symbol
_atom_site_fract_x
_atom_site_fract_y
_atom_site_fract_z
_atom_site_occupancy
Br1 Br 0.764 0.764 0.616 1
Br2 Br 0.989 0.989 0.124 1
Li1 Li 0.498 0.498 0.511 1
W1 W 0.250 0.250 0.250 1
# Magnetization ... 0.67 μB per cell
# Theoretical density ... 6.94 g cm⁻³
# Crystal system ... monoclinic
# Calculated volume ... 83.92 Å³/cell

--- B ---
# LiWBr2 PBE optimized geometry
data_LiWBr2
_chemical_formula_sum 'Li1 W1 Br2'
_cell_length_a 3.406
_cell_length_b 3.406
_cell_length_c 8.149
_cell_angle_alpha 90.00
_cell_angle_beta 90.00
_cell_angle_gamma 124.07
_space_group_name_H-M_alt 'P 1'
_space_group_IT_number 1
loop_
_space_group_symop_operation_xyz
'x,y,z'
loop_
_atom_site_label
_atom_site_type_symbol
_atom_site_fract_x
_atom_site_fract_y
_atom_site_fract_z
_atom_site_occupancy
Br1 Br 0.000 0.000 0.491 1
Br2 Br 0.000 0.000 0.009 1
W1 W 0.500 0.500 0.750 1
Li1 Li 0.500 0.500 0.250 1
# Magnetization ... 0.82 μB per cell
# Theoretical density ... 7.44 g cm⁻³
# Crystal system ... orthorhombic
# Calculated volume ... 78.30 Å³/cell

Stability, highest: B

--- A ---
# Li3WBr PBE optimized geometry
data_Li3WBr
_chemical_formula_sum 'Li3 W1 Br1'
_cell_length_a 4.815
_cell_length_b 4.815
_cell_length_c 4.815
_cell_angle_alpha 90.00
_cell_angle_beta 90.00
_cell_angle_gamma 90.00
_space_group_name_H-M_alt 'P 1'
_space_group_IT_number 1
loop_
_space_group_symop_operation_xyz
'x,y,z'
loop_
_atom_site_label
_atom_site_type_symbol
_atom_site_fract_x
_atom_site_fract_y
_atom_site_fract_z
_atom_site_occupancy
Li1 Li 0.000 0.500 0.000 1
Li2 Li 0.500 0.000 0.000 1
Li3 Li 0.000 0.000 0.500 1
Br1 Br 0.000 0.000 0.000 1
W1 W 0.500 0.500 0.500 1
# Magnetization ... 4.85 μB per cell
# Theoretical density ... 4.23 g cm⁻³
# Crystal system ... cubic
# Calculated volume ... 111.63 Å³/cell

--- B ---
# Li3WBr PBE optimized geometry
data_Li3WBr
_chemical_formula_sum 'Li3 W1 Br1'
_cell_length_a 5.258
_cell_length_b 5.258
_cell_length_c 5.258
_cell_angle_alpha 90.00
_cell_angle_beta 90.00
_cell_angle_gamma 90.00
_space_group_name_H-M_alt 'P 1'
_space_group_IT_number 1
loop_
_space_group_symop_operation_xyz
'x,y,z'
loop_
_atom_site_label
_atom_site_type_symbol
_atom_site_fract_x
_atom_site_fract_y
_atom_site_fract_z
_atom_site_occupancy
W1 W 0.000 0.000 0.000 1
Li1 Li 0.000 0.000 0.500 1
Li2 Li 0.500 0.000 0.000 1
Li3 Li 0.000 0.500 0.000 1
Br1 Br 0.500 0.500 0.500 1
# Magnetization ... 4.61 μB per cell
# Theoretical density ... 3.25 g cm⁻³
# Crystal system ... cubic
# Calculated volume ... 145.38 Å³/cell

Stability, highest: A

--- A ---
# LiWBr6 PBE optimized geometry
data_LiWBr6
_chemical_formula_sum 'Li1 W1 Br6'
_cell_length_a 6.684
_cell_length_b 6.684
_cell_length_c 7.116
_cell_angle_alpha 62.00
_cell_angle_beta 62.00
_cell_angle_gamma 60.00
_space_group_name_H-M_alt 'P 1'
_space_group_IT_number 1
loop_
_space_group_symop_operation_xyz
'x,y,z'
loop_
_atom_site_label
_atom_site_type_symbol
_atom_site_fract_x
_atom_site_fract_y
_atom_site_fract_z
_atom_site_occupancy
Br1 Br 0.081 0.388 0.760 1
Br2 Br 0.228 0.919 0.240 1
Br3 Br 0.919 0.612 0.240 1
Br4 Br 0.612 0.229 0.240 1
Br5 Br 0.388 0.771 0.760 1
Br6 Br 0.772 0.081 0.760 1
Li1 Li 0.500 0.500 0.500 1
W1 W 0.000 0.000 0.000 1
# Magnetization ... 1.00 μB per cell
# Theoretical density ... 4.81 g cm⁻³
# Crystal system ... trigonal
# Calculated volume ... 231.36 Å³/cell

--- B ---
# LiWBr6 PBE optimized geometry
data_LiWBr6
_chemical_formula_sum 'Li1 W1 Br6'
_cell_length_a 6.974
_cell_length_b 7.430
_cell_length_c 7.060
_cell_angle_alpha 105.35
_cell_angle_beta 102.44
_cell_angle_gamma 121.96
_space_group_name_H-M_alt 'P 1'
_space_group_IT_number 1
loop_
_space_group_symop_operation_xyz
'x,y,z'
loop_
_atom_site_label
_atom_site_type_symbol
_atom_site_fract_x
_atom_site_fract_y
_atom_site_fract_z
_atom_site_occupancy
Br1 Br 0.145 0.887 0.292 1
Br2 Br 0.147 0.405 0.292 1
Br3 Br 0.417 0.709 0.000 1
Br4 Br 0.853 0.595 0.708 1
Br5 Br 0.855 0.113 0.708 1
Br6 Br 0.583 0.291 0.000 1
Li1 Li 0.000 0.000 0.000 1
W1 W 0.000 0.500 0.000 1
# Magnetization ... 1.01 μB per cell
# Theoretical density ... 4.13 g cm⁻³
# Crystal system ... monoclinic
# Calculated volume ... 269.55 Å³/cell

Stability, highest: B